Entry 1:
# PBE TmAlSn, relaxed
# ΔE_f	-57.7	kJ/mol of formula units
# DOS at the Fermi energy	5.56	states/eV/cell
# E_tot	-4.271	eV per atom
data_TmAlSn
_chemical_formula_sum 'Tm2 Al2 Sn2'
_symmetry_space_group_name_H-M 'P 1'
_symmetry_Int_Tables_number 1
_cell_length_a 4.172
_cell_length_b 4.681
_cell_length_c 8.152
_cell_angle_alpha 90.00
_cell_angle_beta 90.00
_cell_angle_gamma 90.00
loop_
_symmetry_equiv_pos_as_xyz
'x,y,z'
loop_
_atom_site_label
_atom_site_type_symbol
_atom_site_fract_x
_atom_site_fract_y
_atom_site_fract_z
_atom_site_occupancy
Tm1 Tm 0.000 0.500 0.250 1
Tm2 Tm 0.000 0.500 0.750 1
Al1 Al 0.000 0.000 0.000 1
Al2 Al 0.000 0.000 0.500 1
Sn1 Sn 0.500 0.000 0.250 1
Sn2 Sn 0.500 0.000 0.750 1


Entry 2:
# PBE Rb2ReBr2F4, relaxed
# E_tot	-4.763	eV per atom
# energy relative to the elements, uncorrected	-1961	meV/atom
data_Rb2ReBr2F4
_chemical_formula_sum 'Rb2 Re1 Br2 F4'
_symmetry_space_group_name_H-M 'P 1'
_symmetry_Int_Tables_number 1
_cell_length_a 6.693
_cell_length_b 6.693
_cell_length_c 6.693
_cell_angle_alpha 96.41
_cell_angle_beta 116.37
_cell_angle_gamma 116.37
loop_
_symmetry_equiv_pos_as_xyz
'x,y,z'
loop_
_atom_site_label
_atom_site_type_symbol
_atom_site_fract_x
_atom_site_fract_y
_atom_site_fract_z
_atom_site_occupancy
Rb1 Rb 0.500 0.750 0.250 1
Rb2 Rb 0.500 0.250 0.750 1
Re1 Re 0.000 0.000 0.000 1
Br1 Br 0.000 0.716 0.716 1
Br2 Br 0.000 0.284 0.284 1
F1 F 0.000 0.801 0.199 1
F2 F 0.602 0.801 0.801 1
F3 F 0.000 0.199 0.801 1
F4 F 0.398 0.199 0.199 1


Entry 3:
# PBE TiPbS2N, relaxed
# DOS at the Fermi energy	3.04	states/eV/cell
# E_tot	-4.629	eV per atom
# energy relative to the elements, uncorrected	1008	meV/atom
data_TiPbS2N
_chemical_formula_sum 'Ti1 Pb1 S2 N1'
_symmetry_space_group_name_H-M 'P 1'
_symmetry_Int_Tables_number 1
_cell_length_a 5.162
_cell_length_b 5.162
_cell_length_c 4.365
_cell_angle_alpha 90.00
_cell_angle_beta 90.00
_cell_angle_gamma 90.00
loop_
_symmetry_equiv_pos_as_xyz
'x,y,z'
loop_
_atom_site_label
_atom_site_type_symbol
_atom_site_fract_x
_atom_site_fract_y
_atom_site_fract_z
_atom_site_occupancy
Pb1 Pb 0.000 0.000 0.000 1
S1 S 0.000 0.500 0.000 1
S2 S 0.500 0.000 0.000 1
N1 N 0.000 0.000 0.500 1
Ti1 Ti 0.500 0.500 0.500 1


Entry 4:
# PBE Y2InOsC, relaxed
# ΔE_f	-197.1	kJ/mol of formula units
# DOS at the Fermi energy	2.31	states/eV/cell
# E_tot	-7.633	eV per atom
data_Y2InOsC
_chemical_formula_sum 'Y2 In1 Os1 C1'
_symmetry_space_group_name_H-M 'P 1'
_symmetry_Int_Tables_number 1
_cell_length_a 5.037
_cell_length_b 5.037
_cell_length_c 3.949
_cell_angle_alpha 90.00
_cell_angle_beta 90.00
_cell_angle_gamma 90.00
loop_
_symmetry_equiv_pos_as_xyz
'x,y,z'
loop_
_atom_site_label
_atom_site_type_symbol
_atom_site_fract_x
_atom_site_fract_y
_atom_site_fract_z
_atom_site_occupancy
Y1 Y 0.000 0.500 0.000 1
Y2 Y 0.500 0.000 0.000 1
C1 C 0.000 0.000 0.000 1
Os1 Os 0.000 0.000 0.500 1
In1 In 0.500 0.500 0.500 1


Entry 5:
# PBE CsTa3Br, relaxed
# DOS at the Fermi energy	6.31	states/eV/cell
# E_tot	-5.552	eV per atom
# energy relative to the elements, uncorrected	2065	meV/atom
data_CsTa3Br
_chemical_formula_sum 'Cs1 Ta3 Br1'
_symmetry_space_group_name_H-M 'P 1'
_symmetry_Int_Tables_number 1
_cell_length_a 4.977
_cell_length_b 4.977
_cell_length_c 4.977
_cell_angle_alpha 90.00
_cell_angle_beta 90.00
_cell_angle_gamma 90.00
loop_
_symmetry_equiv_pos_as_xyz
'x,y,z'
loop_
_atom_site_label
_atom_site_type_symbol
_atom_site_fract_x
_atom_site_fract_y
_atom_site_fract_z
_atom_site_occupancy
Cs1 Cs 0.500 0.500 0.500 1
Br1 Br 0.000 0.000 0.000 1
Ta1 Ta 0.000 0.500 0.000 1
Ta2 Ta 0.000 0.000 0.500 1
Ta3 Ta 0.500 0.000 0.000 1


Entry 6:
# PBE Tb2Gd4H, relaxed
# DOS at the Fermi energy	9.19	states/eV/cell
# E_tot	-9.786	eV per atom
data_Tb2Gd4H
_chemical_formula_sum 'Tb2 Gd4 H1'
_symmetry_space_group_name_H-M 'P 1'
_symmetry_Int_Tables_number 1
_cell_length_a 4.848
_cell_length_b 4.848
_cell_length_c 9.253
_cell_angle_alpha 74.81
_cell_angle_beta 74.81
_cell_angle_gamma 90.00
loop_
_symmetry_equiv_pos_as_xyz
'x,y,z'
loop_
_atom_site_label
_atom_site_type_symbol
_atom_site_fract_x
_atom_site_fract_y
_atom_site_fract_z
_atom_site_occupancy
H1 H 0.000 0.000 0.000 1
Gd1 Gd 0.650 0.650 0.700 1
Gd2 Gd 0.350 0.350 0.300 1
Gd3 Gd 0.000 0.500 0.000 1
Gd4 Gd 0.500 0.000 0.000 1
Tb1 Tb 0.850 0.850 0.300 1
Tb2 Tb 0.150 0.150 0.700 1


Entry 7:
# PBE Ce8PuHg2, relaxed
# ΔE_f	-74.4	kJ/mol of formula units
# DOS at the Fermi energy	27.82	states/eV/cell
# E_tot	-5.743	eV per atom
data_Ce8PuHg2
_chemical_formula_sum 'Ce8 Pu1 Hg2'
_symmetry_space_group_name_H-M 'P 1'
_symmetry_Int_Tables_number 1
_cell_length_a 5.132
_cell_length_b 6.599
_cell_length_c 9.731
_cell_angle_alpha 111.89
_cell_angle_beta 109.03
_cell_angle_gamma 90.53
loop_
_symmetry_equiv_pos_as_xyz
'x,y,z'
loop_
_atom_site_label
_atom_site_type_symbol
_atom_site_fract_x
_atom_site_fract_y
_atom_site_fract_z
_atom_site_occupancy
Hg1 Hg 0.178 0.608 0.343 1
Hg2 Hg 0.822 0.392 0.657 1
Ce1 Ce 0.553 0.681 0.148 1
Ce2 Ce 0.358 0.735 0.718 1
Ce3 Ce 0.169 0.130 0.416 1
Ce4 Ce 0.972 0.218 0.991 1
Ce5 Ce 0.831 0.870 0.584 1
Ce6 Ce 0.642 0.265 0.282 1
Ce7 Ce 0.447 0.319 0.852 1
Ce8 Ce 0.028 0.782 0.009 1
Pu1 Pu 0.500 0.000 0.000 1


Entry 8:
# PBE La4TlPbC, relaxed
# ΔE_f	-240.9	kJ/mol of formula units
# DOS at the Fermi energy	10.36	states/eV/cell
# E_tot	-5.358	eV per atom
data_La4TlPbC
_chemical_formula_sum 'La8 Tl2 Pb2 C2'
_symmetry_space_group_name_H-M 'P 1'
_symmetry_Int_Tables_number 1
_cell_length_a 7.348
_cell_length_b 7.343
_cell_length_c 9.083
_cell_angle_alpha 90.00
_cell_angle_beta 113.86
_cell_angle_gamma 90.00
loop_
_symmetry_equiv_pos_as_xyz
'x,y,z'
loop_
_atom_site_label
_atom_site_type_symbol
_atom_site_fract_x
_atom_site_fract_y
_atom_site_fract_z
_atom_site_occupancy
La1 La 0.912 0.250 0.825 1
La2 La 0.412 0.750 0.824 1
La3 La 0.088 0.750 0.175 1
La4 La 0.588 0.250 0.176 1
La5 La 0.500 0.500 0.500 1
La6 La 0.000 0.000 0.500 1
La7 La 0.500 0.000 0.500 1
La8 La 0.000 0.500 0.500 1
Tl1 Tl 0.613 0.750 0.227 1
Tl2 Tl 0.387 0.250 0.773 1
Pb1 Pb 0.112 0.250 0.224 1
Pb2 Pb 0.888 0.750 0.776 1
C1 C 0.255 0.750 0.509 1
C2 C 0.745 0.250 0.491 1


Entry 9:
# PBE ZrSc3Cl, relaxed
# DOS at the Fermi energy	4.21	states/eV/cell
# E_tot	-5.231	eV per atom
# energy relative to the elements, uncorrected	647	meV/atom
data_ZrSc3Cl
_chemical_formula_sum 'Zr1 Sc3 Cl1'
_symmetry_space_group_name_H-M 'P 1'
_symmetry_Int_Tables_number 1
_cell_length_a 5.330
_cell_length_b 5.330
_cell_length_c 5.330
_cell_angle_alpha 90.00
_cell_angle_beta 90.00
_cell_angle_gamma 90.00
loop_
_symmetry_equiv_pos_as_xyz
'x,y,z'
loop_
_atom_site_label
_atom_site_type_symbol
_atom_site_fract_x
_atom_site_fract_y
_atom_site_fract_z
_atom_site_occupancy
Sc1 Sc 0.000 0.500 0.000 1
Sc2 Sc 0.000 0.000 0.500 1
Sc3 Sc 0.500 0.000 0.000 1
Zr1 Zr 0.000 0.000 0.000 1
Cl1 Cl 0.500 0.500 0.500 1


Entry 10:
# PBE LaInW2, relaxed
# ΔE_f	270.9	kJ/mol of formula units
# DOS at the Fermi energy	3.03	states/eV/cell
# E_tot	-7.691	eV per atom
data_LaInW2
_chemical_formula_sum 'La1 In1 W2'
_symmetry_space_group_name_H-M 'P 1'
_symmetry_Int_Tables_number 1
_cell_length_a 3.657
_cell_length_b 3.657
_cell_length_c 6.816
_cell_angle_alpha 90.00
_cell_angle_beta 90.00
_cell_angle_gamma 90.00
loop_
_symmetry_equiv_pos_as_xyz
'x,y,z'
loop_
_atom_site_label
_atom_site_type_symbol
_atom_site_fract_x
_atom_site_fract_y
_atom_site_fract_z
_atom_site_occupancy
In1 In 0.500 0.500 0.250 1
La1 La 0.500 0.500 0.750 1
W1 W 0.000 0.000 0.072 1
W2 W 0.000 0.000 0.428 1


Entry 11:
# PBE YZr3Sc6, relaxed
# ΔE_f	100.4	kJ/mol of formula units
# DOS at the Fermi energy	28.35	states/eV/cell
# E_tot	-6.906	eV per atom
data_YZr3Sc6
_chemical_formula_sum 'Y2 Zr6 Sc12'
_symmetry_space_group_name_H-M 'P 1'
_symmetry_Int_Tables_number 1
_cell_length_a 3.284
_cell_length_b 15.954
_cell_length_c 15.123
_cell_angle_alpha 140.88
_cell_angle_beta 90.00
_cell_angle_gamma 90.00
loop_
_symmetry_equiv_pos_as_xyz
'x,y,z'
loop_
_atom_site_label
_atom_site_type_symbol
_atom_site_fract_x
_atom_site_fract_y
_atom_site_fract_z
_atom_site_occupancy
Y1 Y 0.750 0.021 0.711 1
Y2 Y 0.250 0.979 0.289 1
Zr1 Zr 0.750 0.452 0.864 1
Zr2 Zr 0.250 0.548 0.136 1
Zr3 Zr 0.750 0.668 0.379 1
Zr4 Zr 0.250 0.332 0.621 1
Zr5 Zr 0.750 0.253 0.219 1
Zr6 Zr 0.250 0.747 0.781 1
Sc1 Sc 0.750 0.487 0.590 1
Sc2 Sc 0.250 0.513 0.410 1
Sc3 Sc 0.750 0.955 0.057 1
Sc4 Sc 0.250 0.045 0.943 1
Sc5 Sc 0.750 0.344 0.101 1
Sc6 Sc 0.250 0.656 0.899 1
Sc7 Sc 0.750 0.723 0.143 1
Sc8 Sc 0.250 0.277 0.857 1
Sc9 Sc 0.750 0.138 0.588 1
Sc10 Sc 0.250 0.862 0.412 1
Sc11 Sc 0.750 0.789 0.654 1
Sc12 Sc 0.250 0.211 0.346 1


Entry 12:
# PBE Rb2NaIrBr6, relaxed
# DOS at the Fermi energy	0.00	states/eV/cell
# E_tot	-3.294	eV per atom
# energy relative to the elements, uncorrected	-1079	meV/atom
data_Rb2NaIrBr6
_chemical_formula_sum 'Rb2 Na1 Ir1 Br6'
_symmetry_space_group_name_H-M 'P 1'
_symmetry_Int_Tables_number 1
_cell_length_a 7.707
_cell_length_b 7.707
_cell_length_c 7.704
_cell_angle_alpha 59.99
_cell_angle_beta 59.99
_cell_angle_gamma 90.00
loop_
_symmetry_equiv_pos_as_xyz
'x,y,z'
loop_
_atom_site_label
_atom_site_type_symbol
_atom_site_fract_x
_atom_site_fract_y
_atom_site_fract_z
_atom_site_occupancy
Na1 Na 0.500 0.500 0.000 1
Ir1 Ir 0.000 0.000 0.000 1
Br1 Br 0.231 0.231 0.538 1
Br2 Br 0.769 0.769 0.462 1
Br3 Br 0.231 0.231 0.000 1
Br4 Br 0.769 0.769 0.000 1
Br5 Br 0.769 0.231 0.000 1
Br6 Br 0.231 0.769 0.000 1
Rb1 Rb 0.750 0.250 0.500 1
Rb2 Rb 0.250 0.750 0.500 1